# 1
Computed, not measured: a relaxed NaPmGe4 crystal at the PBE-GGA level of DFT.

a b c (Å): 5.6564 5.6564 5.6564
angles (deg): 60.00 60.00 60.00
Fractional coordinates of all 6 atoms:
Na (0.0000, 0.0000, 0.0000)
Pm (0.7500, 0.7500, 0.7500)
Ge (0.3752, 0.3752, 0.3752)
Ge (0.3752, 0.3752, 0.8743)
Ge (0.3752, 0.8743, 0.3752)
Ge (0.8743, 0.3752, 0.3752)

Calculated values
E   -4.381 eV/atom
Space group   F-43m
Formation enthalpy at 0 K   -0.29 eV per atom
Volume   128.0 Å³/cell

# 2
Computed, not measured: a relaxed Er5AlRu4 crystal at the PBE-GGA level of DFT.

a b c (Å): 3.4034 3.4034 17.1934
angles (deg): 90.00 90.00 90.00
Fractional coordinates of all 10 atoms:
Er (0.0000, 0.0000, 0.0000)
Er (0.0000, 0.0000, 0.1939)
Er (0.0000, 0.0000, 0.3866)
Er (0.0000, 0.0000, 0.6134)
Er (0.0000, 0.0000, 0.8061)
Al (0.5000, 0.5000, 0.5000)
Ru (0.5000, 0.5000, 0.0982)
Ru (0.5000, 0.5000, 0.2965)
Ru (0.5000, 0.5000, 0.7035)
Ru (0.5000, 0.5000, 0.9018)

Calculated values
E   -6.791 eV/atom
Space group   P4/mmm
Formation enthalpy at 0 K   -0.43 eV per atom
Volume   199.2 Å³/cell

# 3
Computed, not measured: a relaxed InNi2P crystal at the PBE-GGA level of DFT.

a b c (Å): 2.9523 2.9523 6.3426
angles (deg): 90.00 90.00 90.00
Fractional coordinates of all 4 atoms:
In (0.0000, 0.0000, 0.0000)
Ni (0.5000, 0.5000, 0.3020)
Ni (0.5000, 0.5000, 0.6980)
P (0.0000, 0.0000, 0.5000)

Calculated values
E   -5.031 eV/atom
Space group   P4/mmm
Formation enthalpy at 0 K   -0.10 eV per atom
Volume   55.3 Å³/cell

# 4
Computed, not measured: a relaxed Sc2TlZn2 crystal at the PBE-GGA level of DFT.

a b c (Å): 6.5616 6.5616 6.5616
angles (deg): 140.73 140.73 56.75
Fractional coordinates of all 5 atoms:
Sc (0.2500, 0.7500, 0.5000)
Sc (0.7500, 0.2500, 0.5000)
Tl (0.0000, 0.0000, 0.0000)
Zn (0.3978, 0.3978, 0.0000)
Zn (0.6022, 0.6022, 0.0000)

Calculated values
E   -3.476 eV/atom
Space group   I4/mmm
Formation enthalpy at 0 K   0.04 eV per atom
Volume   112.3 Å³/cell

# 5
Computed, not measured: a relaxed ZnBPb3 crystal at the PBE-GGA level of DFT.

a b c (Å): 5.3569 5.3569 5.3569
angles (deg): 90.00 90.00 90.00
Fractional coordinates of all 5 atoms:
Zn (0.0000, 0.0000, 0.0000)
B (0.5000, 0.5000, 0.5000)
Pb (0.0000, 0.0000, 0.5000)
Pb (0.0000, 0.5000, 0.0000)
Pb (0.5000, 0.0000, 0.0000)

Calculated values
Energy relative to the lowest polymorph listed for this composition   2.60 eV/f.u.
E   -2.577 eV/atom
Space group   Pm-3m
Formation enthalpy at 0 K   1.24 eV per atom
Volume   153.7 Å³/cell

# 6
Computed, not measured: a relaxed BeGa2Sn crystal at the PBE-GGA level of DFT.

a b c (Å): 9.8599 9.8599 9.8599
angles (deg): 18.23 18.23 18.23
Fractional coordinates of all 4 atoms:
Be (0.0000, 0.0000, 0.0000)
Ga (0.0791, 0.0791, 0.0791)
Ga (0.9209, 0.9209, 0.9209)
Sn (0.5000, 0.5000, 0.5000)

Calculated values
Energy relative to the lowest polymorph listed for this composition   1.14 eV/f.u.
E   -2.964 eV/atom
Space group   R-3m
Formation enthalpy at 0 K   0.48 eV per atom
Volume   82.0 Å³/cell

# 7
Computed, not measured: a relaxed MnOs2Cl crystal at the PBE-GGA level of DFT.

a b c (Å): 2.8072 2.8072 9.5137
angles (deg): 90.00 90.00 119.28
Fractional coordinates of all 4 atoms:
Mn (0.0000, 0.0000, 0.0000)
Os (0.0000, 0.0000, 0.5441)
Os (0.5000, 0.5000, 0.7722)
Cl (0.5000, 0.5000, 0.1935)

Calculated values
Energy relative to the lowest polymorph listed for this composition   1.14 eV/f.u.
E   -7.766 eV/atom
Space group   Cmm2
Volume   65.4 Å³/cell
Raw formation energy   603 meV/atom

# 8
Computed, not measured: a relaxed HgSb12Ir4 crystal at the PBE-GGA level of DFT.

a b c (Å): 8.1599 8.1599 8.1599
angles (deg): 109.47 109.47 109.47
Fractional coordinates of all 17 atoms:
Hg (0.0000, 0.0000, 0.0000)
Sb (0.1542, 0.3398, 0.4940)
Sb (0.1542, 0.6602, 0.8145)
Sb (0.1855, 0.8458, 0.3398)
Sb (0.3398, 0.1855, 0.8458)
Sb (0.3398, 0.4940, 0.1542)
Sb (0.4940, 0.1542, 0.3398)
Sb (0.5060, 0.8458, 0.6602)
Sb (0.6602, 0.5060, 0.8458)
Sb (0.6602, 0.8145, 0.1542)
Sb (0.8145, 0.1542, 0.6602)
Sb (0.8458, 0.3398, 0.1855)
Sb (0.8458, 0.6602, 0.5060)
Ir (0.0000, 0.0000, 0.5000)
Ir (0.0000, 0.5000, 0.0000)
Ir (0.5000, 0.0000, 0.0000)
Ir (0.5000, 0.5000, 0.5000)

Calculated values
E   -5.330 eV/atom
Space group   Im-3
Volume   418.2 Å³/cell
Raw formation energy   -318 meV/atom